Crystalline AcPrSi3 at its relaxed geometry, computed with GGA-PBE.

Properties
E = -5.672 eV per atom
Fermi-level density of states = 2.040 states/eV/f.u.
E_form (uncorrected) = -0.641 eV/atom

POSCAR file:
```
AcPrSi3
1.0
2.313 -12.657 0.000
2.313 12.657 0.000
0.000 0.000 4.071
Ac Pr Si
2 2 6
direct
0.070 0.930 0.750 Ac
0.930 0.070 0.250 Ac
0.202 0.798 0.250 Pr
0.798 0.202 0.750 Pr
0.324 0.676 0.250 Si
0.379 0.621 0.750 Si
0.475 0.525 0.750 Si
0.525 0.475 0.250 Si
0.621 0.379 0.250 Si
0.676 0.324 0.750 Si
```